No. 1
# Pr4SiAsI2

A relaxed structure of Pr4SiAsI2 (PBE, Alexandria).

Cell lengths 7.5401, 4.3542, 8.1794 Å; angles 90.00, 107.87, 90.00 degrees
With the nearest neighbours (Å) after each atom.
Fractional positions:
Pr 0.2269 0.0000 0.1963  2 Si 2.93, 1 As 2.97
Pr 0.2632 0.5000 0.8045  1 Si 2.91, 2 As 2.96
Pr 0.7368 0.5000 0.1955  1 Si 2.91, 2 As 2.96
Pr 0.7731 0.0000 0.8037  2 Si 2.93, 1 As 2.97
Si 0.0000 0.5000 0.0000  6 Pr 2.91-2.93
As 0.5000 0.0000 0.0000  6 Pr 2.96-2.97
I 0.0000 0.0000 0.5000  6 Pr 3.42-3.44
I 0.5000 0.5000 0.5000  6 Pr 3.47-3.48

Summary:
**Raw formation energy**: -1147 meV/atom
**Final energy**: -5.184 eV/atom

=====

No. 2
# PrSmAsI

A relaxed structure of PrSmAsI (PBE, Alexandria).

Cell lengths 4.2475, 4.2475, 23.3180 Å; angles 90.00, 90.00, 120.00 degrees
With the nearest neighbours (Å) after each atom.
Fractional positions:
Pr 0.0000 0.0000 0.0000  3 As 2.96
Pr 0.3333 0.6667 0.6667  3 As 2.96
Pr 0.6667 0.3333 0.3333  3 As 2.96
Sm 0.0000 0.0000 0.8007  3 As 2.86
Sm 0.3333 0.6667 0.4674  3 As 2.86
Sm 0.6667 0.3333 0.1341  3 As 2.86
As 0.0000 0.0000 0.4042  3 Sm 2.86, 3 Pr 2.96
As 0.3333 0.6667 0.0709  3 Sm 2.86, 3 Pr 2.96
As 0.6667 0.3333 0.7375  3 Sm 2.86, 3 Pr 2.96
I 0.0000 0.0000 0.2313  3 Sm 3.34, 3 Pr 3.42
I 0.3333 0.6667 0.8980  3 Sm 3.34, 3 Pr 3.42
I 0.6667 0.3333 0.5646  3 Sm 3.34, 3 Pr 3.42

Summary:
**Raw formation energy**: -1302 meV/atom
**Final energy**: -5.226 eV/atom